A plane-wave DFT calculation with PBE-GGA was carried out for a relaxed structure of Ca2HgPd.

Cell: 3.644 3.644 7.422 Å, 90.00 90.00 90.00°
Element x y z (fractional)
1 Ca 0.000 0.000 0.230
2 Ca 0.000 0.000 0.770
3 Hg 0.500 0.500 0.500
4 Pd 0.500 0.500 0.000

Output
The magnetization comes out at 0.00 μB/cell. Its electronic total energy is -2.98 eV per atom. The volume comes out at 98.6 Å³/cell. As for the density of states at the Fermi level: 2.112 states/eV per cell. The formation enthalpy at 0 K comes out at -610 meV per atom.



A plane-wave DFT calculation with PBE-GGA was carried out for a relaxed structure of Ce6TlTc2.

Cell: 4.954 5.764 8.861 Å, 94.90 90.00 115.45°
Element x y z (fractional)
1 Tc 0.732 0.464 0.884
2 Tc 0.268 0.536 0.116
3 Ce 0.397 0.794 0.830
4 Ce 0.703 0.406 0.620
5 Ce 0.946 0.892 0.133
6 Ce 0.603 0.206 0.170
7 Ce 0.297 0.594 0.380
8 Ce 0.054 0.108 0.867
9 Tl 0.000 0.000 0.500

Output
The magnetization comes out at 0.00 μB/cell. Its electronic total energy is -6.70 eV per atom. The volume comes out at 227.4 Å³/cell. As for the density of states at the Fermi level: 17.562 states/eV per cell. The formation enthalpy at 0 K comes out at -178 meV per atom.



A plane-wave DFT calculation with PBE-GGA was carried out for a relaxed structure of HoTiAs2Rh5.

Cell: 3.995 3.995 10.768 Å, 90.00 90.00 90.00°
Element x y z (fractional)
1 Rh 0.000 0.500 0.147
2 Rh 0.500 0.000 0.853
3 Rh 0.000 0.500 0.853
4 Rh 0.500 0.000 0.147
5 Rh 0.000 0.000 0.500
6 Ho 0.500 0.500 0.500
7 As 0.000 0.000 0.280
8 As 0.000 0.000 0.720
9 Ti 0.000 0.000 0.000

Output
The magnetization comes out at 0.00 μB/cell. Its electronic total energy is -6.84 eV per atom. The volume comes out at 171.9 Å³/cell. As for the density of states at the Fermi level: 7.794 states/eV per cell. The formation enthalpy at 0 K comes out at -336 meV per atom.



A plane-wave DFT calculation with PBE-GGA was carried out for a relaxed structure of V2GaSi.

Cell: 2.638 2.638 7.706 Å, 90.00 90.00 90.00°
Element x y z (fractional)
1 V 0.000 0.000 0.263
2 V 0.000 0.000 0.737
3 Si 0.500 0.500 0.500
4 Ga 0.500 0.500 0.000

Output
The magnetization comes out at 0.00 μB/cell. Its energy relative to the elements, uncorrected is -0.9 eV per formula unit. Its electronic total energy is -6.89 eV per atom. The volume comes out at 53.6 Å³/cell. As for the density of states at the Fermi level: 4.153 states/eV per cell.



A plane-wave DFT calculation with PBE-GGA was carried out for a relaxed structure of MnHg2Cl.

Cell: 6.355 6.355 6.355 Å, 142.40 142.40 54.23°
Element x y z (fractional)
1 Mn 0.250 0.750 0.500
2 Hg 0.000 0.000 0.000
3 Hg 0.500 0.500 0.000
4 Cl 0.750 0.250 0.500

Output
The magnetization comes out at 4.80 μB/cell. Its energy relative to the elements, uncorrected is 0.5 eV per formula unit. Its electronic total energy is -2.78 eV per atom. For the relative energy among the computed polymorphs, the calculation gives 303.2 meV/atom. The volume comes out at 94.9 Å³/cell. As for the density of states at the Fermi level: 1.825 states/eV per cell.



A plane-wave DFT calculation with PBE-GGA was carried out for a relaxed structure of SrMg2Rh2.

Cell: 4.376 4.376 6.396 Å, 69.99 69.99 90.00°
Element x y z (fractional)
1 Mg 0.750 0.250 0.500
2 Mg 0.250 0.750 0.500
3 Rh 0.387 0.387 0.227
4 Rh 0.613 0.613 0.773
5 Sr 0.000 0.000 0.000

Output
The magnetization comes out at 0.00 μB/cell. Its electronic total energy is -4.24 eV per atom. For the relative energy among the computed polymorphs, the calculation gives 0.0 meV/atom. The volume comes out at 107.2 Å³/cell. As for the density of states at the Fermi level: 1.769 states/eV per cell. The formation enthalpy at 0 K comes out at -323 meV per atom.